An optimized crystal structure of La6TcAg2, computed with GGA-PBE.

Summary:
The calculation puts the density of states at the Fermi level at 1.270 states/eV per atom. The calculation puts the total energy at -93.1 eV for the cell shown. As for the formation enthalpy at 0 K: -0.10 eV per atom.

Geometry as CIF:
```
data_La6TcAg2
_cell_length_a 6.794
_cell_length_b 7.942
_cell_length_c 10.787
_cell_angle_alpha 90.00
_cell_angle_beta 90.84
_cell_angle_gamma 90.00
_symmetry_space_group_name_H-M 'P 1'
_symmetry_Int_Tables_number 1
loop_
_symmetry_equiv_pos_as_xyz
'x,y,z'
loop_
_atom_site_label
_atom_site_fract_x
_atom_site_fract_y
_atom_site_fract_z
_atom_site_occupancy
La1 0.122 0.020 0.253 1
La2 0.170 0.319 0.549 1
La3 0.159 0.319 0.942 1
La4 0.341 0.819 0.558 1
La5 0.330 0.819 0.951 1
La6 0.378 0.520 0.247 1
La7 0.878 0.980 0.747 1
La8 0.830 0.681 0.451 1
La9 0.841 0.681 0.058 1
La10 0.659 0.181 0.442 1
La11 0.670 0.181 0.049 1
La12 0.622 0.480 0.753 1
Tc1 0.500 0.500 0.000 1
Tc2 0.000 0.000 0.500 1
Ag1 0.071 0.611 0.752 1
Ag2 0.429 0.111 0.748 1
Ag3 0.571 0.889 0.252 1
Ag4 0.929 0.389 0.248 1
```